Entry 1:
RbLa2O (PBE, optimized geometry); DOS(E_F) = 1.07 states/eV per atom; VASP energy = -20.147 eV per cell; formation energy from raw total energies = -1.092 eV/atom
1.0
3.8438 0.0000 0.0000
1.9219 3.3289 0.0000
1.9219 1.1096 10.7645
La Rb O
2 1 1
Direct
0.8745 0.8745 0.3765
0.1255 0.1255 0.6235
0.0000 0.0000 0.0000
0.5000 0.5000 0.5000


Entry 2:
RbLa2O (PBE, optimized geometry); DOS(E_F) = 1.31 states/eV per atom; VASP energy = -39.815 eV per cell; formation energy from raw total energies = -1.032 eV/atom
1.0
-5.8437 0.9671 -4.9650
4.8755 -0.9439 -5.9223
-1.4267 -5.3117 -5.3712
O Rb La
2 2 4
Direct
0.5000 0.5000 0.0000
0.2500 0.7500 0.5000
0.0000 0.0000 0.0000
0.7500 0.2500 0.5000
0.3170 0.6250 0.2500
0.4330 0.1250 0.2500
0.3750 0.5670 0.7500
0.8750 0.6830 0.7500


Entry 3:
Rb3La2O4 (PBE, optimized geometry); DOS(E_F) = 0.14 states/eV per atom; VASP energy = -52.119 eV per cell; formation energy from raw total energies = -2.170 eV/atom
1.0
-2.7615 -1.4292 1.8965
-1.3806 -1.9672 -6.9901
6.9289 -6.3325 5.3171
La Rb O
2 3 4
Direct
0.3047 0.6095 0.1647
0.6953 0.3905 0.8353
0.5836 0.1673 0.4299
0.0000 0.0000 0.0000
0.4164 0.8327 0.5701
0.3215 0.6431 0.9615
0.9080 0.8160 0.2935
0.6785 0.3569 0.0385
0.0920 0.1840 0.7065


Entry 4:
Rb3LaO3 (PBE, optimized geometry); DOS(E_F) = 0.00 states/eV per atom; VASP energy = -71.255 eV per cell; formation energy from raw total energies = -1.846 eV/atom; excess energy over the best structure of this formula in the dataset = 28 meV/atom
1.0
-6.0086 -2.3360 3.8748
2.8377 -4.8139 -5.0346
4.8049 -2.0506 5.3412
O Rb La
6 6 2
Direct
0.8138 0.5313 0.7328
0.8997 0.8997 0.1625
0.5313 0.8138 0.7328
0.1862 0.4687 0.2672
0.4687 0.1862 0.2672
0.1003 0.1003 0.8375
0.2135 0.7865 0.5000
0.7459 0.2541 0.0000
0.7865 0.2135 0.5000
0.2541 0.7459 0.0000
0.3560 0.3560 0.6375
0.6440 0.6440 0.3625
0.8086 0.8086 0.8501
0.1914 0.1914 0.1499